# 1
Here is a relaxed HfMg2 crystal from OQMD. Energies are from PBE.

CIF file:
```
data_HfMg2
_chemical_formula_sum 'Hf4 Mg8'
_symmetry_space_group_name_H-M 'P m m n'
_symmetry_Int_Tables_number 59
_cell_length_a 5.0128
_cell_length_b 9.5230
_cell_length_c 5.5526
_cell_angle_alpha 90.00
_cell_angle_beta 90.00
_cell_angle_gamma 90.00
loop_
_symmetry_equiv_pos_as_xyz
'x,y,z'
'-x,-y,-z'
'-x+1/2,-y+1/2,z'
'x+1/2,y+1/2,-z'
'x+1/2,-y,-z'
'-x+1/2,y,z'
'-x,y+1/2,-z'
'x,-y+1/2,z'
loop_
_atom_site_label
_atom_site_fract_x
_atom_site_fract_y
_atom_site_fract_z
_atom_site_occupancy
Hf1 0.2500 0.0900 0.0752 1
Mg1 0.2500 0.2500 0.5872 1
Mg2 0.2500 0.5818 0.5867 1
Mg3 0.2500 0.7500 0.0742 1
```

Results
Magnetization, μB/f.u.: 0.007
Electronic total energy, eV for the cell shown: -49.87

---

# 2
Here is a relaxed Gd2Al3Ga3 crystal from OQMD. Energies are from PBE.

CIF file:
```
data_Gd2Al3Ga3
_chemical_formula_sum 'Gd2 Al3 Ga3'
_symmetry_space_group_name_H-M 'P 1 m 1'
_symmetry_Int_Tables_number 6
_symmetry_space_group_name_Hall 'P -2y'
_cell_length_a 6.3074
_cell_length_b 4.5594
_cell_length_c 6.3317
_cell_angle_alpha 90.00
_cell_angle_beta 119.49
_cell_angle_gamma 90.00
loop_
_atom_site_label
_atom_site_fract_x
_atom_site_fract_y
_atom_site_fract_z
_atom_site_occupancy
Gd1 0.0000 0.0000 0.0000 1
Gd2 0.3318 0.5000 0.6750 1
Al1 0.5191 0.0000 0.4773 1
Al2 0.8098 0.5000 0.1972 1
Al3 0.9545 0.0000 0.4756 1
Ga1 0.3711 0.5000 0.1969 1
Ga2 0.5223 0.0000 0.0409 1
Ga3 0.8103 0.5000 0.6321 1
```

Results
Offset from the most stable computed form, eV per atom: 0.005
Magnetization, μB/f.u.: 0.002

---

# 3
Here is a relaxed NaHgW crystal from OQMD. Energies are from PBE.

CIF file:
```
data_NaHgW
_chemical_formula_sum 'Na4 Hg4 W4'
_symmetry_space_group_name_H-M 'F -4 3 m'
_symmetry_Int_Tables_number 216
_symmetry_space_group_name_Hall 'F -4 2 3'
_cell_length_a 6.7131
_cell_length_b 6.7131
_cell_length_c 6.7131
_cell_angle_alpha 90.00
_cell_angle_beta 90.00
_cell_angle_gamma 90.00
loop_
_atom_site_label
_atom_site_fract_x
_atom_site_fract_y
_atom_site_fract_z
_atom_site_occupancy
Na1 0.0000 0.0000 0.0000 1
Hg1 0.2500 0.2500 0.2500 1
W1 0.0000 0.0000 0.5000 1
```

Results
Offset from the most stable computed form, eV per atom: 0.000
Magnetization, μB/f.u.: 3.288

---

# 4
Here is a relaxed YHoZn2Ge2 crystal from OQMD. Energies are from PBE.

CIF file:
```
data_YHoZn2Ge2
_chemical_formula_sum 'Y2 Ho2 Zn4 Ge4'
_symmetry_space_group_name_H-M 'P 63/m m c'
_symmetry_Int_Tables_number 194
_symmetry_space_group_name_Hall '-P 6c 2c'
_cell_length_a 4.2208
_cell_length_b 4.2208
_cell_length_c 15.6697
_cell_angle_alpha 90.00
_cell_angle_beta 90.00
_cell_angle_gamma 120.00
loop_
_atom_site_label
_atom_site_fract_x
_atom_site_fract_y
_atom_site_fract_z
_atom_site_occupancy
Y1 0.0000 0.0000 0.0000 1
Ho1 0.0000 0.0000 0.2500 1
Zn1 0.3333 0.6667 0.1464 1
Ge1 0.3333 0.6667 0.6145 1
```

Results
Offset from the most stable computed form, eV per atom: 0.000
Magnetization, μB/f.u.: 0.000

---

# 5
Here is a relaxed TmCdPd crystal from OQMD. Energies are from PBE.

CIF file:
```
data_TmCdPd
_chemical_formula_sum 'Tm4 Cd4 Pd4'
_symmetry_space_group_name_H-M 'F -4 3 m'
_symmetry_Int_Tables_number 216
_symmetry_space_group_name_Hall 'F -4 2 3'
_cell_length_a 6.5967
_cell_length_b 6.5967
_cell_length_c 6.5967
_cell_angle_alpha 90.00
_cell_angle_beta 90.00
_cell_angle_gamma 90.00
loop_
_atom_site_label
_atom_site_fract_x
_atom_site_fract_y
_atom_site_fract_z
_atom_site_occupancy
Tm1 0.0000 0.0000 0.0000 1
Cd1 0.0000 0.0000 0.5000 1
Pd1 0.2500 0.2500 0.7500 1
```

Results
Magnetization, μB/f.u.: 0.001
Formation energy from the elements, eV/atom: -0.578

---

# 6
Here is a relaxed AlB2Mo2 crystal from OQMD. Energies are from PBE.

CIF file:
```
data_AlB2Mo2
_chemical_formula_sum 'Al2 B4 Mo4'
_symmetry_space_group_name_H-M 'C m m m'
_symmetry_Int_Tables_number 65
_symmetry_space_group_name_Hall '-C 2 2'
_cell_length_a 3.0806
_cell_length_b 11.5283
_cell_length_c 3.1466
_cell_angle_alpha 90.00
_cell_angle_beta 90.00
_cell_angle_gamma 90.00
loop_
_atom_site_label
_atom_site_fract_x
_atom_site_fract_y
_atom_site_fract_z
_atom_site_occupancy
Al1 0.0000 0.0000 0.0000 1
B1 0.0000 0.2069 0.0000 1
Mo1 0.0000 0.3569 0.5000 1
```

Results
Magnetization, μB/f.u.: 0.005
Electronic total energy, eV for the cell shown: -82.12